First-principles (PBE-GGA) data for an optimized crystal structure of Sm3Ho3Te2Pd, as listed in OQMD.

Summary:
Symmetry: P-62m
Total DFT energy (no corrections) (eV for the cell shown): -46.2

```
Sm3Ho3Te2Pd
1.0
-6.3234 4.1945 3.9746
4.7287 -5.6984 4.3062
2.5171 2.8457 1.0016
Ho Pd Sm Te
3 1 3 2
Direct
0.5951 0.0000 0.0000 Ho
0.4049 0.4049 0.0000 Ho
0.0000 0.5951 0.0000 Ho
0.0000 0.0000 0.0000 Pd
0.2511 0.0000 0.5000 Sm
0.0000 0.2511 0.5000 Sm
0.7489 0.7489 0.5000 Sm
0.6667 0.3333 0.5000 Te
0.3333 0.6667 0.5000 Te
```

First-principles (PBE-GGA) data for an optimized crystal structure of Sm3Ho3Te2Pd, as listed in OQMD.

Summary:
Symmetry: P-62m
Total DFT energy (no corrections) (eV for the cell shown): -46.9

```
Sm3Ho3Te2Pd
1.0
-4.1417 6.9778 -2.4217
-1.2020 -7.2886 -4.1401
-3.0059 -0.9195 2.4914
Ho Pd Sm Te
3 1 3 2
Direct
0.2438 0.0000 0.5000 Ho
0.0000 0.2438 0.5000 Ho
0.7562 0.7562 0.5000 Ho
0.0000 0.0000 0.0000 Pd
0.5938 0.0000 0.0000 Sm
0.4062 0.4062 0.0000 Sm
0.0000 0.5938 0.0000 Sm
0.6667 0.3333 0.5000 Te
0.3333 0.6667 0.5000 Te
```

Question: total DFT energy (no corrections) of number 1 (Sm3Ho3Te2Pd)?
Answer: -46.2 eV for the cell shown